Here is a relaxed Zn2CrTeO8 crystal from the Alexandria database. Energies are from GGA+U.

## Properties
total energy = -5.388 eV per atom

Cell and atoms, written as CIF:
```
data_Zn2CrTeO8
_chemical_formula_sum 'Zn4 Cr2 Te2 O16'
_cell_length_a 6.729
_cell_length_b 6.729
_cell_length_c 6.589
_cell_angle_alpha 90.00
_cell_angle_beta 90.00
_cell_angle_gamma 90.00
_symmetry_space_group_name_H-M 'I -4 m 2'
_symmetry_Int_Tables_number 119
_symmetry_space_group_name_Hall 'I -4 -2'
loop_
_atom_site_label
_atom_site_type_symbol
_atom_site_fract_x
_atom_site_fract_y
_atom_site_fract_z
_atom_site_occupancy
Zn1 Zn 0.000 0.000 0.000 1
Zn2 Zn 0.000 0.500 0.250 1
Cr1 Cr 0.000 0.500 0.750 1
Te1 Te 0.000 0.000 0.500 1
O1 O 0.000 0.205 0.314 1
O2 O 0.000 0.301 0.902 1
```